TcOsRh3: optimized geometry, PBE.

Lattice parameters (Å, degrees): 2.6845 6.8400 8.7833 90.46 90.00 101.32
Fractional coordinates of all 10 atoms:
Tc (0.0889, 0.1777, 0.9581)
Tc (0.9111, 0.8223, 0.0419)
Os (0.3199, 0.6398, 0.5689)
Os (0.6801, 0.3602, 0.4311)
Rh (0.9426, 0.8852, 0.7484)
Rh (0.0574, 0.1148, 0.2516)
Rh (0.7167, 0.4333, 0.1322)
Rh (0.2833, 0.5667, 0.8678)
Rh (0.8736, 0.7471, 0.3336)
Rh (0.1264, 0.2529, 0.6664)

crystal system	monoclinic
magnetization	0.00	μB/f.u.
excess energy over the best structure of this formula in the dataset	405	meV per atom
E_form	397	meV/atom
V	158.1	Å³ per cell

TcOs4Rh: optimized geometry, PBE.

Lattice parameters (Å, degrees): 5.0855 5.0855 5.0855 60.00 60.00 60.00
Fractional coordinates of all 6 atoms:
Tc (0.0000, 0.0000, 0.0000)
Os (0.8737, 0.3754, 0.3754)
Os (0.3754, 0.3754, 0.8737)
Os (0.3754, 0.8737, 0.3754)
Os (0.3754, 0.3754, 0.3754)
Rh (0.7500, 0.7500, 0.7500)

crystal system	cubic
magnetization	0.00	μB/f.u.
excess energy over the best structure of this formula in the dataset	658	meV per atom
E_form	655	meV/atom
V	93.0	Å³ per cell

Tc2Os2Rh: optimized geometry, PBE.

Lattice parameters (Å, degrees): 3.8346 3.8346 6.2619 72.17 72.17 90.00
Fractional coordinates of all 5 atoms:
Rh (0.0000, 0.0000, 0.0000)
Os (0.3941, 0.3941, 0.2118)
Os (0.6059, 0.6059, 0.7882)
Tc (0.7500, 0.2500, 0.5000)
Tc (0.2500, 0.7500, 0.5000)

crystal system	tetragonal
magnetization	0.00	μB/f.u.
excess energy over the best structure of this formula in the dataset	397	meV per atom
E_form	604	meV/atom
V	83.0	Å³ per cell

Tc3OsRh: optimized geometry, PBE.

Lattice parameters (Å, degrees): 4.6276 4.6276 4.6276 90.00 90.00 90.00
Fractional coordinates of all 5 atoms:
Rh (0.5000, 0.5000, 0.5000)
Os (0.0000, 0.0000, 0.0000)
Tc (0.0000, 0.5000, 0.0000)
Tc (0.0000, 0.0000, 0.5000)
Tc (0.5000, 0.0000, 0.0000)

crystal system	cubic
magnetization	0.00	μB/f.u.
excess energy over the best structure of this formula in the dataset	0	meV per atom
E_form	1878	meV/atom
V	99.1	Å³ per cell

Q: Which of these has the lowest E_form?
A: TcOsRh3

Q: What is the formula in the fourth record?
A: Tc3OsRh

Q: Which value of magnetization does entry 4 give?
A: 0.00 μB/f.u.